Entry 1:
Below is crystalline PmGdGe at its relaxed geometry, with properties calculated at the PBE level.

Unit cell a=5.015 b=5.015 c=5.015 alpha=60.00 beta=60.00 gamma=60.00
Element x y z (fractional)
Gd 0.000 0.000 0.000
Ge 0.250 0.250 0.250
Pm 0.750 0.750 0.750

Output
**Total moment**: 1.53 Bohr magnetons per cell
**Energy**: -4.37 eV/atom

---

Entry 2:
Below is crystalline Pr3GdZn12Ge6 at its relaxed geometry, with properties calculated at the PBE level.

Unit cell a=7.669 b=4.101 c=13.285 alpha=90.00 beta=90.00 gamma=90.00
Element x y z (fractional)
Gd 0.000 0.000 0.667
Ge 0.809 0.500 0.191
Ge 0.309 0.500 0.309
Ge 0.883 0.500 0.503
Ge 0.304 0.500 0.690
Ge 0.812 0.500 0.807
Ge 0.382 0.500 0.000
Pr 0.500 0.000 0.167
Pr 0.000 0.000 0.334
Pr 0.500 0.000 0.833
Zn 0.189 0.000 0.000
Zn 0.906 0.000 0.094
Zn 0.144 0.500 0.144
Zn 0.645 0.500 0.357
Zn 0.406 0.000 0.406
Zn 0.211 0.500 0.501
Zn 0.690 0.000 0.501
Zn 0.403 0.000 0.594
Zn 0.644 0.500 0.644
Zn 0.144 0.500 0.855
Zn 0.907 0.000 0.904
Zn 0.712 0.500 0.999

Output
**Total moment**: 0.00 Bohr magnetons per cell
**Energy**: -3.23 eV/atom